# Pr2TlSn

A geometry-optimized Pr2TlSn structure (PBE-GGA, the Alexandria database).

Geometry as POSCAR:
```
Pr2TlSn
1.0
6.423 0.000 0.000
0.000 4.475 0.000
-2.890 0.000 8.807
Pr Tl Sn
4 2 2
Direct
0.198 0.250 0.427
0.290 0.750 0.066
0.710 0.250 0.934
0.802 0.750 0.573
0.385 0.750 0.703
0.615 0.250 0.297
0.127 0.250 0.793
0.873 0.750 0.207
```

Output
DOS at the Fermi energy = 3.88 states/eV/f.u.
Energy of formation = -588 meV/atom
Symmetry = P2_1/m, No. 11

=====

# Pr7Tl3Sn

A geometry-optimized Pr7Tl3Sn structure (PBE-GGA, the Alexandria database).

Geometry as POSCAR:
```
Pr7Tl3Sn
1.0
5.822 -5.982 0.000
5.822 5.982 0.000
-3.170 0.000 5.196
Pr Tl Sn
7 3 1
Direct
0.000 0.000 0.000
0.096 0.571 0.333
0.320 0.320 0.821
0.429 0.904 0.667
0.571 0.096 0.333
0.680 0.680 0.179
0.904 0.429 0.667
0.266 0.734 0.000
0.500 0.500 0.500
0.734 0.266 0.000
0.000 0.000 0.500
```

Output
DOS at the Fermi energy = 11.40 states/eV/f.u.
Energy of formation = -243 meV/atom
Symmetry = C2/m, No. 12

=====

# PrTm8Sn6

A geometry-optimized PrTm8Sn6 structure (PBE-GGA, the Alexandria database).

Geometry as POSCAR:
```
PrTm8Sn6
1.0
4.486 2.590 6.446
-4.486 2.590 6.446
0.000 -5.180 6.446
Pr Tm Sn
1 8 6
Direct
0.000 0.000 0.000
0.108 0.777 0.435
0.223 0.565 0.892
0.333 0.333 0.333
0.435 0.108 0.777
0.565 0.892 0.223
0.667 0.667 0.667
0.777 0.435 0.108
0.892 0.223 0.565
0.068 0.409 0.727
0.273 0.932 0.591
0.409 0.727 0.068
0.591 0.273 0.932
0.727 0.068 0.409
0.932 0.591 0.273
```

Output
DOS at the Fermi energy = 8.98 states/eV/f.u.
Energy of formation = -502 meV/atom
Symmetry = R-3, No. 148